SmTm2Pa: relaxed, PBE-GGA.

Results
M_tot, μB per formula unit: 0.00
DFT formation energy, meV per atom: 286
D(E_F), states/eV/cell: 15.93
E, eV/atom: -5.50

Structure (POSCAR):
```
SmTm2Pa
1.0
3.317 0.000 0.000
-1.658 2.872 0.000
0.000 0.000 36.610
Sm Tm Pa
3 6 3
Direct
0.000 0.000 0.000
0.333 0.667 0.667
0.667 0.333 0.333
0.000 0.000 0.413
0.000 0.000 0.587
0.333 0.667 0.080
0.333 0.667 0.254
0.667 0.333 0.746
0.667 0.333 0.920
0.000 0.000 0.500
0.333 0.667 0.167
0.667 0.333 0.833
```

***

CeHf3Pa2N6: relaxed, PBE-GGA.

Results
M_tot, μB per formula unit: 0.00
Formation energy (no corrections), eV/atom: -1.706
D(E_F), states/eV/cell: 8.27
E, eV/atom: -10.43

Structure (POSCAR):
```
CeHf3Pa2N6
1.0
7.416 -1.645 0.000
7.416 1.645 0.000
-1.956 0.000 6.564
Ce Hf Pa N
1 3 2 6
Direct
0.000 0.000 0.000
0.000 0.000 0.500
0.335 0.335 0.166
0.665 0.665 0.834
0.333 0.333 0.667
0.667 0.667 0.333
0.159 0.159 0.602
0.176 0.176 0.069
0.494 0.494 0.274
0.506 0.506 0.726
0.824 0.824 0.931
0.841 0.841 0.398
```

***

Y6CdRh: relaxed, PBE-GGA.

Results
M_tot, μB per formula unit: 0.00
DFT formation energy, meV per atom: -88
D(E_F), states/eV/cell: 11.32
E, eV/atom: -5.97

Structure (POSCAR):
```
Y6CdRh
1.0
6.904 0.000 0.000
-3.448 5.992 0.000
-3.437 -1.995 6.284
Y Cd Rh
6 1 1
Direct
0.037 0.079 0.253
0.296 0.716 0.253
0.325 0.542 0.747
0.675 0.458 0.253
0.704 0.284 0.747
0.963 0.921 0.747
0.500 0.000 0.000
0.500 0.500 0.500
```